Entry 1:
MnTlCuGe2 after structural relaxation, computed with PBE-GGA.

Values from the calculation:
SG: No. 123
Energy relative to the elements in meV/atom: 670
Energy in hartree per atom: -0.1581

POSCAR file:
```
MnTlCuGe2
1.0
4.6458 0.0000 0.0000
0.0000 5.2807 0.0000
0.0000 0.0000 4.6458
Tl Mn Ge Cu
1 1 2 1
Direct
0.0000 0.5000 0.0000
0.5000 0.5000 0.5000
0.0000 0.0000 0.5000
0.5000 0.0000 0.0000
0.0000 0.0000 0.0000
```

Entry 2:
MnVCuGe after structural relaxation, computed with PBE-GGA.

Values from the calculation:
SG: No. 216
Energy relative to the elements in meV/atom: 5
Energy in hartree per atom: -0.2479

POSCAR file:
```
MnVCuGe
1.0
-3.6355 -1.6929 1.3688
0.0569 -3.5269 2.3481
-1.0032 0.1767 4.1132
Ge Mn Cu V
1 1 1 1
Direct
0.7500 0.7500 0.7500
0.0000 0.0000 0.0000
0.2500 0.2500 0.2500
0.5000 0.5000 0.5000
```

Entry 3:
CuGe2Mo after structural relaxation, computed with PBE-GGA.

Values from the calculation:
SG: No. 166
Energy relative to the elements in meV/atom: 167
Energy in hartree per atom: -0.2159

POSCAR file:
```
CuGe2Mo
1.0
2.9873 0.0000 0.0000
1.4936 2.5871 0.0000
1.4936 0.8624 8.7529
Mo Ge Cu
1 2 1
Direct
0.5000 0.5000 0.5000
0.0897 0.0897 0.7310
0.9103 0.9103 0.2690
0.0000 0.0000 0.0000
```